Entry 1:
Computed, not measured: a relaxed structure of RbPt2Pb3 at the PBE level of DFT.

## Properties
* theoretical density: 10.7 Mg/m³
* E_form: -97 kJ/mol of formula units

```
12
Lattice="5.749 0.000 0.000 0.000 8.178 -1.390 0.000 -3.004 7.732" Properties=species:S:1:pos:R:3 pbc="T T T"
Pb 4.312 0.541 0.663
Pb 4.312 -0.524 3.828
Pb 4.312 3.855 0.256
Pb 1.437 1.319 6.086
Pb 1.437 5.697 2.514
Pb 1.437 4.632 5.679
Rb 1.437 1.819 2.229
Rb 4.312 3.355 4.113
Pt 0.000 -1.130 6.203
Pt 2.874 6.304 0.139
Pt 2.874 -1.130 6.203
Pt 0.000 6.304 0.139
```

---

Entry 2:
Computed, not measured: a relaxed structure of Th2AuSe at the PBE level of DFT.

## Properties
* theoretical density: 11.0 Mg/m³
* E_form (uncorrected): -1012 meV per atom
* offset from the most stable computed form: 0.0 meV/atom

```
4
Lattice="-0.359 0.673 -4.205 -3.306 -1.643 -2.153 -4.955 5.541 -0.862" Properties=species:S:1:pos:R:3 pbc="T T T"
Th -2.156 1.144 -1.805
Th -6.464 3.428 -5.416
Au 0.000 0.000 0.000
Se -4.310 2.286 -3.610
```

---

Entry 3:
Computed, not measured: a relaxed structure of Tb2PmSbO8 at the PBE level of DFT.

## Properties
* theoretical density: 7.4 Mg/m³
* E_form (uncorrected): -2454 meV per atom

```
12
Lattice="4.132 -0.172 -0.002 -0.154 5.262 -0.005 0.004 0.008 7.394" Properties=species:S:1:pos:R:3 pbc="T T T"
Tb 1.990 2.547 1.806
Tb 1.992 2.551 5.580
O 1.729 1.032 -0.002
O 2.003 1.256 3.695
O 1.979 3.842 3.692
O 2.253 4.066 7.388
O 0.082 3.974 5.810
O 0.080 3.969 1.575
O 3.900 1.125 1.576
O 3.902 1.129 5.811
Pm 0.002 0.004 3.697
Sb 0.000 0.000 0.000
```

---

Entry 4:
Computed, not measured: a relaxed structure of K2CaP2O7 at the PBE level of DFT.

## Properties
* theoretical density: 2.7 Mg/m³
* E_form (uncorrected): -2529 meV per atom

```
48
Lattice="5.758 0.000 0.000 0.000 9.917 -0.008 0.000 6.673 12.816" Properties=species:S:1:pos:R:3 pbc="T T T"
O 1.410 5.552 1.711
O 4.348 11.039 11.098
O 2.953 8.415 1.869
O 4.289 7.702 4.690
O 3.136 11.590 7.978
O 2.740 9.714 5.050
O 1.677 3.411 3.106
O 5.204 9.894 5.688
O 1.469 8.888 8.119
O 5.619 3.540 1.350
O 1.202 6.748 9.514
O 0.074 4.839 4.531
O 0.139 13.051 11.458
O 2.804 8.175 10.939
O 3.433 13.230 12.096
O 1.494 16.120 11.909
O 4.373 3.806 7.308
O 4.556 9.843 3.294
O 0.257 8.337 11.239
O 3.018 6.876 7.759
O 2.622 5.000 4.830
O 2.325 3.360 0.712
O 0.554 6.696 7.121
O 5.683 11.752 8.277
O 1.385 12.784 5.501
O 5.501 8.253 1.570
O 4.081 13.179 9.702
O 4.264 0.470 0.899
K 1.509 14.064 8.132
K 4.388 5.863 11.084
K 1.370 10.728 1.724
K 4.249 2.526 4.676
K 4.409 9.139 8.688
K 4.228 5.802 2.280
K 1.530 10.788 10.529
K 1.349 7.452 4.121
P 1.412 4.091 4.590
P 4.169 9.225 4.788
P 4.346 12.499 8.219
P 4.468 12.562 11.196
P 1.290 4.029 1.612
P 1.589 7.365 8.020
P 4.291 9.163 1.811
P 1.467 7.428 10.998
Ca 4.376 5.866 6.164
Ca 1.497 7.388 0.237
Ca 4.261 9.202 12.572
Ca 1.382 10.725 6.645
```